[1]
# SrPa2Co2N6, relaxed, DFT GGA-PBE
data_SrPa2Co2N6
_symmetry_space_group_name_H-M 'R -3 m'
_symmetry_Int_Tables_number 166
_symmetry_space_group_name_Hall '-R 3 2"'
_cell_length_a 5.3504
_cell_length_b 5.3504
_cell_length_c 19.7391
_cell_angle_alpha 90.00
_cell_angle_beta 90.00
_cell_angle_gamma 120.00
loop_
_atom_site_label
_atom_site_fract_x
_atom_site_fract_y
_atom_site_fract_z
_atom_site_occupancy
Sr1 0.0000 0.0000 0.0000 1
Pa1 0.0000 0.0000 0.1979 1
Co1 0.0000 0.0000 0.4122 1
N1 0.0135 0.5067 0.7771 1
# Magnetic moment: 2.45 μB/cell
# Raw total energy: -8.07 eV/atom
# Formation energy (no corrections): -0.3622 eV per atom

***

[2]
# NdSmEu2, relaxed, DFT GGA-PBE
data_NdSmEu2
_symmetry_space_group_name_H-M 'P 4/m m m'
_symmetry_Int_Tables_number 123
_symmetry_space_group_name_Hall '-P 4 2'
_cell_length_a 6.025
_cell_length_b 6.025
_cell_length_c 4.102
_cell_angle_alpha 90.00
_cell_angle_beta 90.00
_cell_angle_gamma 90.00
loop_
_atom_site_label
_atom_site_fract_x
_atom_site_fract_y
_atom_site_fract_z
_atom_site_occupancy
Nd1 0.000 0.000 0.000 1
Sm1 0.500 0.500 0.000 1
Eu1 0.000 0.500 0.500 1
# Formation enthalpy at 0 K: 0.550 eV per formula unit
# Magnetic moment: 14.86 μB/cell
# Raw total energy: -7.37 eV/atom
# Polymorph energy (0 for the lowest one): 0.059 eV per atom

***

[3]
# KBeAgBr4, relaxed, DFT GGA-PBE
data_KBeAgBr4
_symmetry_space_group_name_H-M 'P 1 21/m 1'
_symmetry_Int_Tables_number 11
_symmetry_space_group_name_Hall '-P 2yb'
_cell_length_a 6.580
_cell_length_b 7.483
_cell_length_c 8.848
_cell_angle_alpha 90.00
_cell_angle_beta 105.61
_cell_angle_gamma 90.00
loop_
_atom_site_label
_atom_site_fract_x
_atom_site_fract_y
_atom_site_fract_z
_atom_site_occupancy
K1 0.245 0.250 0.430 1
Be1 0.289 0.750 0.194 1
Ag1 0.317 0.250 0.974 1
Br1 0.061 0.750 0.965 1
Br2 0.151 0.750 0.391 1
Br3 0.490 0.018 0.781 1
# Magnetic moment: 0.00 μB/cell
# Raw total energy: -3.07 eV/atom
# Formation energy (no corrections): -1.0173 eV per atom

***

[4]
# GaAgHg2, relaxed, DFT GGA-PBE
data_GaAgHg2
_symmetry_space_group_name_H-M 'R 3 m'
_symmetry_Int_Tables_number 160
_symmetry_space_group_name_Hall 'R 3 -2"'
_cell_length_a 3.2967
_cell_length_b 3.2967
_cell_length_c 27.5880
_cell_angle_alpha 90.00
_cell_angle_beta 90.00
_cell_angle_gamma 120.00
loop_
_atom_site_label
_atom_site_fract_x
_atom_site_fract_y
_atom_site_fract_z
_atom_site_occupancy
Ga1 0.0000 0.0000 0.0000 1
Ag1 0.0000 0.0000 0.1668 1
Hg1 0.0000 0.0000 0.5824 1
Hg2 0.0000 0.0000 0.7508 1
# Formation enthalpy at 0 K: 0.410 eV per formula unit
# Magnetic moment: 0.00 μB/cell
# Raw total energy: -1.52 eV/atom

***

[5]
# HfUMo2, relaxed, DFT GGA-PBE
data_HfUMo2
_symmetry_space_group_name_H-M 'P 4/m m m'
_symmetry_Int_Tables_number 123
_symmetry_space_group_name_Hall '-P 4 2'
_cell_length_a 3.356
_cell_length_b 3.356
_cell_length_c 6.640
_cell_angle_alpha 90.00
_cell_angle_beta 90.00
_cell_angle_gamma 90.00
loop_
_atom_site_label
_atom_site_fract_x
_atom_site_fract_y
_atom_site_fract_z
_atom_site_occupancy
Hf1 0.000 0.000 0.000 1
U1 0.000 0.000 0.500 1
Mo1 0.500 0.500 0.266 1
# Formation enthalpy at 0 K: 0.230 eV per formula unit
# Magnetic moment: 0.00 μB/cell
# Raw total energy: -10.67 eV/atom
# Polymorph energy (0 for the lowest one): 0.000 eV per atom

***

[6]
# Na2InBAu, relaxed, DFT GGA-PBE
data_Na2InBAu
_symmetry_space_group_name_H-M 'P 4/m m m'
_symmetry_Int_Tables_number 123
_symmetry_space_group_name_Hall '-P 4 2'
_cell_length_a 5.282
_cell_length_b 5.282
_cell_length_c 4.110
_cell_angle_alpha 90.00
_cell_angle_beta 90.00
_cell_angle_gamma 90.00
loop_
_atom_site_label
_atom_site_fract_x
_atom_site_fract_y
_atom_site_fract_z
_atom_site_occupancy
Na1 0.000 0.500 0.000 1
In1 0.000 0.000 0.500 1
B1 0.500 0.500 0.000 1
Au1 0.500 0.500 0.500 1
# Formation enthalpy at 0 K: 1.090 eV per formula unit
# Magnetic moment: 0.20 μB/cell
# Raw total energy: -2.85 eV/atom

***

[7]
# ZnSnBiSb, relaxed, DFT GGA-PBE
data_ZnSnBiSb
_symmetry_space_group_name_H-M 'R 3 m'
_symmetry_Int_Tables_number 160
_symmetry_space_group_name_Hall 'R 3 -2"'
_cell_length_a 4.6106
_cell_length_b 4.6106
_cell_length_c 22.4059
_cell_angle_alpha 90.00
_cell_angle_beta 90.00
_cell_angle_gamma 120.00
loop_
_atom_site_label
_atom_site_fract_x
_atom_site_fract_y
_atom_site_fract_z
_atom_site_occupancy
Zn1 0.0000 0.0000 0.0000 1
Sn1 0.0000 0.0000 0.5115 1
Bi1 0.0000 0.0000 0.6429 1
Sb1 0.0000 0.0000 0.1226 1
# Magnetic moment: 0.00 μB/cell
# Raw total energy: -3.28 eV/atom
# Formation energy (no corrections): 0.0414 eV per atom

***

[8]
# BiSbSeN2, relaxed, DFT GGA-PBE
data_BiSbSeN2
_symmetry_space_group_name_H-M 'P 4/m m m'
_symmetry_Int_Tables_number 123
_symmetry_space_group_name_Hall '-P 4 2'
_cell_length_a 4.171
_cell_length_b 4.171
_cell_length_c 5.410
_cell_angle_alpha 90.00
_cell_angle_beta 90.00
_cell_angle_gamma 90.00
loop_
_atom_site_label
_atom_site_fract_x
_atom_site_fract_y
_atom_site_fract_z
_atom_site_occupancy
Bi1 0.000 0.000 0.000 1
Sb1 0.500 0.500 0.500 1
Se1 0.500 0.500 0.000 1
N1 0.000 0.500 0.500 1
# Magnetic moment: 0.08 μB/cell
# Raw total energy: -4.57 eV/atom
# Formation energy (no corrections): 1.0569 eV per atom
# Polymorph energy (0 for the lowest one): 0.000 eV per atom

***

[9]
# Ba2ZrAu, relaxed, DFT GGA-PBE
data_Ba2ZrAu
_symmetry_space_group_name_H-M 'I 4/m m m'
_symmetry_Int_Tables_number 139
_symmetry_space_group_name_Hall '-I 4 2'
_cell_length_a 4.902
_cell_length_b 4.902
_cell_length_c 10.485
_cell_angle_alpha 90.00
_cell_angle_beta 90.00
_cell_angle_gamma 90.00
loop_
_atom_site_label
_atom_site_fract_x
_atom_site_fract_y
_atom_site_fract_z
_atom_site_occupancy
Ba1 0.000 0.500 0.250 1
Zr1 0.000 0.000 0.000 1
Au1 0.000 0.000 0.500 1
# Formation enthalpy at 0 K: 1.443 eV per formula unit
# Magnetic moment: 0.00 μB/cell
# Raw total energy: -3.56 eV/atom
# Polymorph energy (0 for the lowest one): 0.415 eV per atom

***

[10]
# NaBiClO2, relaxed, DFT GGA-PBE
data_NaBiClO2
_symmetry_space_group_name_H-M 'C m c m'
_symmetry_Int_Tables_number 63
_symmetry_space_group_name_Hall '-C 2c 2'
_cell_length_a 6.230
_cell_length_b 12.925
_cell_length_c 4.694
_cell_angle_alpha 90.00
_cell_angle_beta 90.00
_cell_angle_gamma 90.00
loop_
_atom_site_label
_atom_site_fract_x
_atom_site_fract_y
_atom_site_fract_z
_atom_site_occupancy
Na1 0.000 0.091 0.250 1
Bi1 0.000 0.397 0.250 1
Cl1 0.000 0.226 0.750 1
O1 0.222 0.500 0.000 1
# Magnetic moment: 0.85 μB/cell
# Raw total energy: -4.53 eV/atom
# Formation energy (no corrections): -1.1354 eV per atom

***

[11]
# KTcO3, relaxed, DFT GGA-PBE
data_KTcO3
_symmetry_space_group_name_H-M 'P 4 m m'
_symmetry_Int_Tables_number 99
_symmetry_space_group_name_Hall 'P 4 -2'
_cell_length_a 3.283
_cell_length_b 3.283
_cell_length_c 6.635
_cell_angle_alpha 90.00
_cell_angle_beta 90.00
_cell_angle_gamma 90.00
loop_
_atom_site_label
_atom_site_fract_x
_atom_site_fract_y
_atom_site_fract_z
_atom_site_occupancy
K1 0.000 0.000 0.000 1
Tc1 0.500 0.500 0.460 1
O1 0.000 0.000 0.622 1
O2 0.000 0.500 0.306 1
# Magnetic moment: 0.00 μB/cell
# Raw total energy: -6.03 eV/atom
# Formation energy (no corrections): -0.7582 eV per atom

***

[12]
# Th6Ir3OsS2, relaxed, DFT GGA-PBE
data_Th6Ir3OsS2
_symmetry_space_group_name_H-M 'C 1 2/m 1'
_symmetry_Int_Tables_number 12
_symmetry_space_group_name_Hall '-C 2y'
_cell_length_a 18.281
_cell_length_b 4.094
_cell_length_c 8.419
_cell_angle_alpha 90.00
_cell_angle_beta 105.40
_cell_angle_gamma 90.00
loop_
_atom_site_label
_atom_site_fract_x
_atom_site_fract_y
_atom_site_fract_z
_atom_site_occupancy
Th1 0.006 0.000 0.257 1
Th2 0.160 0.500 0.584 1
Th3 0.161 0.500 0.107 1
Ir1 0.000 0.500 0.000 1
Ir2 0.175 0.000 0.349 1
Os1 0.000 0.500 0.500 1
S1 0.174 0.000 0.856 1
# Magnetic moment: 0.00 μB/cell
# Raw total energy: -8.67 eV/atom
# Formation energy (no corrections): -1.1219 eV per atom